Density functional theory data (PBE-GGA) for DyPd8Au2 after structural relaxation.

- Energy relative to the lowest polymorph listed for this composition: 115 meV per atom
- Electronic total energy: -5.030 eV/atom
- SG: C2/m

Cell lengths 4.927, 7.418, 7.961 Å; angles 62.23, 71.97, 48.36 degrees
Atoms (fractional coordinates):
1 Pd 0.238 0.622 0.276
2 Pd 0.762 0.101 0.276
3 Pd 0.500 0.194 0.613
4 Pd 0.500 0.806 0.387
5 Pd 0.238 0.899 0.724
6 Pd 0.762 0.378 0.724
7 Pd 0.253 0.496 0.000
8 Pd 0.747 0.504 0.000
9 Au 0.000 0.681 0.637
10 Au 0.000 0.319 0.363
11 Dy 0.500 0.000 0.000

Density functional theory data (PBE-GGA) for Dy4PdAu after structural relaxation.

- Electronic total energy: -4.934 eV/atom
- SG: P2_1/c

Cell lengths 6.966, 7.023, 7.053 Å; angles 90.00, 92.18, 90.00 degrees
Atoms (fractional coordinates):
1 Dy 0.331 0.343 0.344
2 Dy 0.146 0.344 0.835
3 Dy 0.831 0.157 0.344
4 Dy 0.669 0.657 0.656
5 Dy 0.354 0.844 0.165
6 Dy 0.646 0.156 0.835
7 Dy 0.854 0.656 0.165
8 Dy 0.169 0.843 0.656
9 Au 0.000 0.000 0.000
10 Au 0.500 0.500 0.000
11 Pd 0.000 0.500 0.500
12 Pd 0.500 0.000 0.500

Density functional theory data (PBE-GGA) for DyPd4Au8 after structural relaxation.

- Electronic total energy: -3.892 eV/atom
- SG: F-43m

Cell lengths 7.345, 7.345, 7.345 Å; angles 60.00, 60.00, 60.00 degrees
Atoms (fractional coordinates):
1 Au 0.716 0.095 0.095
2 Au 0.095 0.095 0.095
3 Au 0.599 0.599 0.202
4 Au 0.095 0.095 0.716
5 Au 0.599 0.202 0.599
6 Au 0.599 0.599 0.599
7 Au 0.202 0.599 0.599
8 Au 0.095 0.716 0.095
9 Pd 0.346 0.963 0.346
10 Pd 0.963 0.346 0.346
11 Pd 0.346 0.346 0.963
12 Pd 0.346 0.346 0.346
13 Dy 0.750 0.750 0.750

Density functional theory data (PBE-GGA) for Dy2PdAu after structural relaxation.

- Electronic total energy: -5.290 eV/atom
- SG: P4/mmm

Cell lengths 3.543, 3.543, 7.165 Å; angles 90.00, 90.00, 90.00 degrees
Atoms (fractional coordinates):
1 Dy 0.000 0.000 0.755
2 Dy 0.000 0.000 0.245
3 Pd 0.500 0.500 0.000
4 Au 0.500 0.500 0.500

Density functional theory data (PBE-GGA) for DyPd3Au after structural relaxation.

- Energy relative to the lowest polymorph listed for this composition: 0 meV per atom
- Electronic total energy: -5.328 eV/atom
- SG: Cmcm

Cell lengths 4.693, 5.908, 7.001 Å; angles 90.00, 70.44, 90.00 degrees
Atoms (fractional coordinates):
1 Pd 0.992 0.750 0.515
2 Pd 0.815 0.994 0.871
3 Pd 0.815 0.506 0.871
4 Pd 0.008 0.250 0.485
5 Pd 0.185 0.006 0.129
6 Pd 0.185 0.494 0.129
7 Dy 0.389 0.250 0.724
8 Dy 0.611 0.750 0.276
9 Au 0.632 0.250 0.236
10 Au 0.368 0.750 0.764

Density functional theory data (PBE-GGA) for DyPd3Au2 after structural relaxation.

- Energy relative to the lowest polymorph listed for this composition: 0 meV per atom
- Electronic total energy: -5.085 eV/atom
- SG: Cmmm

Cell lengths 4.013, 4.179, 12.694 Å; angles 90.00, 90.00, 90.00 degrees
Atoms (fractional coordinates):
1 Pd 0.500 0.000 0.831
2 Pd 0.500 0.500 0.669
3 Pd 0.500 0.000 0.169
4 Pd 0.501 0.500 0.000
5 Pd 0.499 0.000 0.500
6 Pd 0.500 0.500 0.331
7 Dy 0.000 0.000 0.000
8 Dy 0.000 0.500 0.500
9 Au 0.000 0.500 0.833
10 Au 0.000 0.500 0.167
11 Au 0.000 0.000 0.333
12 Au 0.000 0.000 0.667

Density functional theory data (PBE-GGA) for Dy3Pd2Au after structural relaxation.

- Electronic total energy: -5.345 eV/atom
- SG: R-3c

Cell lengths 7.638, 7.638, 7.638 Å; angles 57.74, 57.74, 57.74 degrees
Atoms (fractional coordinates):
1 Au 0.500 0.500 0.500
2 Au 0.000 0.000 0.000
3 Dy 0.447 0.053 0.750
4 Dy 0.250 0.553 0.947
5 Dy 0.053 0.750 0.447
6 Dy 0.947 0.250 0.553
7 Dy 0.553 0.947 0.250
8 Dy 0.750 0.447 0.053
9 Pd 0.152 0.152 0.152
10 Pd 0.348 0.348 0.348
11 Pd 0.652 0.652 0.652
12 Pd 0.848 0.848 0.848

Density functional theory data (PBE-GGA) for Dy4Pd2Au after structural relaxation.

- Electronic total energy: -5.286 eV/atom
- SG: R-3m

Cell lengths 4.947, 4.947, 8.660 Å; angles 73.40, 73.40, 60.00 degrees
Atoms (fractional coordinates):
1 Dy 0.127 0.127 0.620
2 Dy 0.623 0.623 0.131
3 Dy 0.377 0.377 0.869
4 Dy 0.873 0.873 0.380
5 Pd 0.754 0.754 0.738
6 Pd 0.246 0.246 0.262
7 Au 0.000 0.000 0.000

DFT formation energy for the records above, in order: -0.239, -0.454, 0.076, -0.871, -0.637, -0.629, -0.766, -0.705 eV per atom
D(E_F) for the records above, in order: 8.8, 15.1, 4.6, 3.1, 3.4, 4.8, 7.0, 4.3 states/eV per cell